DFT (GGA-PBE) results for a relaxed BAs crystal.

Results
Formation energy in meV/atom: 330
Spin magnetization in μB/f.u.: 0.00

```
data_BAs
_symmetry_space_group_name_H-M 'P 21 21 21'
_symmetry_Int_Tables_number 19
_cell_length_a 6.167
_cell_length_b 6.210
_cell_length_c 6.944
_cell_angle_alpha 90.00
_cell_angle_beta 90.00
_cell_angle_gamma 90.00
loop_
_symmetry_equiv_pos_as_xyz
'x,y,z'
'-x+1/2,-y,z+1/2'
'x+1/2,-y+1/2,-z'
'-x,y+1/2,-z+1/2'
loop_
_atom_site_label
_atom_site_type_symbol
_atom_site_fract_x
_atom_site_fract_y
_atom_site_fract_z
B1 B 0.137 0.063 0.233
B2 B 0.157 0.600 0.968
As1 As 0.157 0.407 0.216
As2 As 0.191 0.107 0.531
```

DFT (GGA-PBE) results for a relaxed BHSCl2 crystal.

Results
Spin magnetization in μB/f.u.: 1.33
D(E_F) in states/eV per atom: 0.76
E above lowest polymorph in eV per formula unit: 0.000

```
data_BHSCl2
_symmetry_space_group_name_H-M 'P 4/m m m'
_symmetry_Int_Tables_number 123
_symmetry_space_group_name_Hall '-P 4 2'
_cell_length_a 4.657
_cell_length_b 4.657
_cell_length_c 3.821
_cell_angle_alpha 90.00
_cell_angle_beta 90.00
_cell_angle_gamma 90.00
loop_
_atom_site_label
_atom_site_type_symbol
_atom_site_fract_x
_atom_site_fract_y
_atom_site_fract_z
B1 B 0.000 0.000 0.000
H1 H 0.500 0.500 0.500
S1 S 0.000 0.000 0.500
Cl1 Cl 0.000 0.500 0.000
```

DFT (GGA-PBE) results for a relaxed Ce2TcRu3 crystal.

Results
Formation energy in meV/atom: -271
Spin magnetization in μB/f.u.: 0.00
D(E_F) in states/eV per atom: 1.12

```
data_Ce2TcRu3
_symmetry_space_group_name_H-M 'P 63/m m c'
_symmetry_Int_Tables_number 194
_symmetry_space_group_name_Hall '-P 6c 2c'
_cell_length_a 5.6090
_cell_length_b 5.6090
_cell_length_c 8.0215
_cell_angle_alpha 90.00
_cell_angle_beta 90.00
_cell_angle_gamma 120.00
loop_
_atom_site_label
_atom_site_type_symbol
_atom_site_fract_x
_atom_site_fract_y
_atom_site_fract_z
Ce1 Ce 0.3333 0.6667 0.0676
Tc1 Tc 0.0000 0.0000 0.0000
Ru1 Ru 0.1684 0.3369 0.7500
```

DFT (GGA-PBE) results for a relaxed BaSrMo2 crystal.

Results
Formation energy in meV/atom: 1593
Spin magnetization in μB/f.u.: 6.28
D(E_F) in states/eV per atom: 1.14
E above lowest polymorph in eV per formula unit: 4.251

```
data_BaSrMo2
_symmetry_space_group_name_H-M 'F m -3 m'
_symmetry_Int_Tables_number 225
_symmetry_space_group_name_Hall '-F 4 2 3'
_cell_length_a 7.822
_cell_length_b 7.822
_cell_length_c 7.822
_cell_angle_alpha 90.00
_cell_angle_beta 90.00
_cell_angle_gamma 90.00
loop_
_atom_site_label
_atom_site_type_symbol
_atom_site_fract_x
_atom_site_fract_y
_atom_site_fract_z
Ba1 Ba 0.000 0.000 0.000
Sr1 Sr 0.000 0.000 0.500
Mo1 Mo 0.250 0.250 0.250
```